No. 1
The following is a PBE calculation of a relaxed CeSc2Al crystal, from the Alexandria database.

a = 7.1019 Å, b = 7.1019 Å, c = 7.1019 Å
α = 90.00°, β = 90.00°, γ = 90.00°
Closest atoms and distances in Å follow each position.
Space group Fm-3m (No. 225)
Unique sites:
Ce1 0.0000 0.0000 0.0000 x4  8 Sc 3.08
Sc1 0.2500 0.2500 0.2500 x8  4 Ce 3.08, 4 Al 3.08
Al1 0.0000 0.0000 0.5000 x4  8 Sc 3.08

Output
**E**: -5.67 eV/atom
**Calculated volume**: 89.5 Å³/f.u.
**Distance to the lowest polymorph of the same formula**: 120 meV per atom

=====

No. 2
The following is a PBE calculation of a relaxed Ba3In2Hg2As4 crystal, from the Alexandria database.

a = 5.2526 Å, b = 5.2526 Å, c = 25.4825 Å
α = 90.00°, β = 90.00°, γ = 90.00°
Closest atoms and distances in Å follow each position.
Space group I4/mmm (No. 139)
Unique sites:
Ba1 0.0000 0.0000 0.0000 x2  8 As 3.59, 8 In 3.98
Ba2 0.0000 0.0000 0.1747 x4  4 As 3.30, 1 Hg 3.63
In1 0.0000 0.0000 0.4436 x4  4 As 2.81, 1 In 2.87
Hg1 0.0000 0.0000 0.3172 x4  1 In 3.22, 4 As 3.43
As1 0.0000 0.5000 0.0961 x8  2 In 2.81

Output
**E**: -3.29 eV/atom
**Calculated volume**: 351.5 Å³/f.u.

=====

No. 3
The following is a PBE calculation of a relaxed HfWBr3 crystal, from the Alexandria database.

a = 5.2835 Å, b = 5.2835 Å, c = 5.2835 Å
α = 90.00°, β = 90.00°, γ = 90.00°
Closest atoms and distances in Å follow each position.
Space group Pm-3m (No. 221)
Unique sites:
Hf1 0.0000 0.0000 0.0000 x1  6 Br 2.64
W1 0.5000 0.5000 0.5000 x1  12 Br 3.74
Br1 0.0000 0.0000 0.5000 x3  2 Hf 2.64

Output
**E**: -4.84 eV/atom
**Calculated volume**: 147.5 Å³/f.u.
**Distance to the lowest polymorph of the same formula**: 0 meV per atom
**Energy relative to the elements, uncorrected**: 3.7 eV per formula unit

=====

No. 4
The following is a PBE calculation of a relaxed Tm3Hf2Mg2 crystal, from the Alexandria database.

a = 5.0267 Å, b = 22.0850 Å, c = 3.3092 Å
α = 90.00°, β = 90.00°, γ = 90.00°
Closest atoms and distances in Å follow each position.
Space group Cmmm (No. 65)
Unique sites:
Tm1 0.0000 0.0000 0.0000 x2  4 Tm 3.31-3.43, 8 Mg 3.42
Tm2 0.0000 0.1553 0.0000 x4  6 Hf 3.22-3.33, 3 Tm 3.31-3.43, 4 Mg 3.50
Hf1 0.0000 0.2801 0.5000 x4  2 Hf 2.84
Mg1 0.0000 0.4261 0.5000 x4  1 Hf 3.22, 3 Mg 3.27-3.31, 8 Tm 3.42-3.50

Output
**E**: -5.16 eV/atom
**Calculated volume**: 183.7 Å³/f.u.

=====

No. 5
The following is a PBE calculation of a relaxed AcDy2Pb crystal, from the Alexandria database.

a = 7.9325 Å, b = 7.9325 Å, c = 7.9325 Å
α = 90.00°, β = 90.00°, γ = 90.00°
Closest atoms and distances in Å follow each position.
Space group Fm-3m (No. 225)
Unique sites:
Ac1 0.0000 0.0000 0.0000 x4  8 Dy 3.43
Dy1 0.2500 0.2500 0.2500 x8  4 Pb 3.43, 4 Ac 3.43
Pb1 0.0000 0.0000 0.5000 x4  8 Dy 3.43

Output
**E**: -4.31 eV/atom
**Calculated volume**: 124.8 Å³/f.u.
**Distance to the lowest polymorph of the same formula**: 170 meV per atom

=====

No. 6
The following is a PBE calculation of a relaxed MnCrW2 crystal, from the Alexandria database.

a = 2.7411 Å, b = 2.7411 Å, c = 26.2520 Å
α = 90.00°, β = 90.00°, γ = 120.00°
Closest atoms and distances in Å follow each position.
Space group R3m (No. 160, hexagonal axes)
Unique sites:
Mn1 0.0000 0.0000 0.0000 x3  3 Cr 2.37
Cr1 0.0000 0.0000 0.7340 x3  3 Mn 2.37
W1 0.0000 0.0000 0.2489 x3  3 Mn 2.72, 9 W 2.74-2.95
W2 0.0000 0.0000 0.4873 x3  9 W 2.74-2.95, 3 Cr 2.77

Output
**E**: -10.77 eV/atom
**Calculated volume**: 56.9 Å³/f.u.
**Distance to the lowest polymorph of the same formula**: 340 meV per atom

=====

No. 7
The following is a PBE calculation of a relaxed Ca2Ag2Au crystal, from the Alexandria database.

a = 8.0417 Å, b = 8.0417 Å, c = 4.1084 Å
α = 90.00°, β = 90.00°, γ = 90.00°
Closest atoms and distances in Å follow each position.
Space group P4/mbm (No. 127)
Unique sites:
Ca1 0.1711 0.3289 0.0000 x4  2 Au 2.98, 6 Ag 3.10-3.17
Ag1 0.1248 0.6248 0.5000 x4  1 Ag 2.84, 6 Ca 3.10-3.17
Au1 0.0000 0.0000 0.0000 x2  4 Ca 2.98

Output
**E**: -2.83 eV/atom
**Calculated volume**: 132.8 Å³/f.u.
**Distance to the lowest polymorph of the same formula**: 218 meV per atom

=====

No. 8
The following is a PBE calculation of a relaxed AcDy2Te crystal, from the Alexandria database.

a = 3.8936 Å, b = 3.8936 Å, c = 33.6320 Å
α = 90.00°, β = 90.00°, γ = 120.00°
Closest atoms and distances in Å follow each position.
Space group R-3m (No. 166, hexagonal axes)
Unique sites:
Ac1 0.0000 0.0000 0.0000 x3  2 Dy 3.60, 6 Ac 3.89
Dy1 0.0000 0.0000 0.1070 x6  3 Te 3.01
Te1 0.0000 0.0000 0.5000 x3  6 Dy 3.01

Output
**E**: -4.42 eV/atom
**Calculated volume**: 147.2 Å³/f.u.
**Distance to the lowest polymorph of the same formula**: 245 meV per atom
**Energy relative to the elements, uncorrected**: -1.2 eV per formula unit

=====

No. 9
The following is a PBE calculation of a relaxed Sc3ZnBi crystal, from the Alexandria database.

a = 5.4238 Å, b = 5.4238 Å, c = 5.4238 Å
α = 90.00°, β = 90.00°, γ = 90.00°
Closest atoms and distances in Å follow each position.
Space group Pm-3m (No. 221)
Unique sites:
Sc1 0.0000 0.0000 0.5000 x3  2 Bi 2.71
Zn1 0.5000 0.5000 0.5000 x1  12 Sc 3.84
Bi1 0.0000 0.0000 0.0000 x1  6 Sc 2.71

Output
**E**: -4.33 eV/atom
**Calculated volume**: 159.6 Å³/f.u.
**Distance to the lowest polymorph of the same formula**: 624 meV per atom

=====

No. 10
The following is a PBE calculation of a relaxed SrLiBe2Br crystal, from the Alexandria database.

a = 5.2848 Å, b = 5.2848 Å, c = 4.5839 Å
α = 90.00°, β = 90.00°, γ = 90.00°
Closest atoms and distances in Å follow each position.
Space group P4/mmm (No. 123)
Unique sites:
Sr1 0.0000 0.0000 0.0000 x1  8 Be 3.50, 4 Li 3.74
Li1 0.5000 0.5000 0.0000 x1  2 Br 2.29
Be1 0.0000 0.5000 0.5000 x2  2 Br 2.64
Br1 0.5000 0.5000 0.5000 x1  2 Li 2.29

Output
**E**: -1.95 eV/atom
**Calculated volume**: 128.0 Å³/f.u.
**Energy relative to the elements, uncorrected**: 3.0 eV per formula unit

=====

No. 11
The following is a PBE calculation of a relaxed Pr3H crystal, from the Alexandria database.

a = 3.4791 Å, b = 10.2791 Å, c = 6.0720 Å
α = 90.00°, β = 90.00°, γ = 90.00°
Closest atoms and distances in Å follow each position.
Space group Imm2 (No. 44)
Unique sites:
Pr1 0.0000 0.0000 0.0000 x2  2 H 2.58
Pr2 0.0000 0.1786 0.5299 x4  2 H 2.70
H1 0.0000 0.5000 0.1868 x2  6 Pr 2.58-2.70

Output
**E**: -4.44 eV/atom
**Calculated volume**: 108.6 Å³/f.u.

=====

No. 12
The following is a PBE calculation of a relaxed LiBeTc3 crystal, from the Alexandria database.

a = 4.0708 Å, b = 4.0708 Å, c = 4.0708 Å
α = 90.00°, β = 90.00°, γ = 90.00°
Closest atoms and distances in Å follow each position.
Space group Pm-3m (No. 221)
Unique sites:
Li1 0.0000 0.0000 0.0000 x1  6 Tc 2.04
Be1 0.5000 0.5000 0.5000 x1  12 Tc 2.88
Tc1 0.0000 0.0000 0.5000 x3  2 Li 2.04

Output
**E**: -6.00 eV/atom
**Calculated volume**: 67.5 Å³/f.u.
**Distance to the lowest polymorph of the same formula**: 516 meV per atom

=====

Copy entry 11 word for word.
The following is a PBE calculation of a relaxed Pr3H crystal, from the Alexandria database.

a = 3.4791 Å, b = 10.2791 Å, c = 6.0720 Å
α = 90.00°, β = 90.00°, γ = 90.00°
Closest atoms and distances in Å follow each position.
Space group Imm2 (No. 44)
Unique sites:
Pr1 0.0000 0.0000 0.0000 x2  2 H 2.58
Pr2 0.0000 0.1786 0.5299 x4  2 H 2.70
H1 0.0000 0.5000 0.1868 x2  6 Pr 2.58-2.70

Output
**E**: -4.44 eV/atom
**Calculated volume**: 108.6 Å³/f.u.

=====

- Which of these has the highest calculated volume?
  Ba3In2Hg2As4

=====

- calculated volume of number 7 (Ca2Ag2Au)?
  132.8 Å³/f.u.

=====

- calculated volume of number 5 (AcDy2Pb)?
  124.8 Å³/f.u.